GGA-PBE SrYMg2, relaxed; size of the total moment = 0.00 μB per cell; excess energy over the best structure of this formula in the dataset = 182 meV/atom; space group = C2/m, No. 12; VASP energy = -2.71 eV per atom
1.0
11.0184 0.0000 0.0000
0.0000 3.6132 0.0000
-1.1372 0.0000 6.7831
Sr Y Mg
2 2 4
Direct
0.0000 0.0000 0.0000 Sr
0.5000 0.5000 0.0000 Sr
0.0000 0.5000 0.5000 Y
0.5000 0.0000 0.5000 Y
0.2441 0.0000 0.7063 Mg
0.2559 0.5000 0.2937 Mg
0.7441 0.5000 0.7063 Mg
0.7559 0.0000 0.2937 Mg